Record 1
! LaCrAuS2 | the Alexandria database | GGA-PBE | optimized geometry; values from VASP
! Volume ... 168.91 Å³/f.u.
! ΔE_f (raw) ... 0.14 eV per atom
! Space-group type ... P4/mmm (123)
! Total magnetization ... 4.12 μB per cell
&SYSTEM
  ibrav = 0, nat = 5, ntyp = 4
/
ATOMIC_SPECIES
Cr 52.00 Cr.upf
S 32.06 S.upf
Au 196.97 Au.upf
La 138.91 La.upf
ATOMIC_POSITIONS angstrom
Cr -3.6428 0.2894 -3.0968
S 0.1066 -0.8242 -2.5876
S -1.1735 2.3213 -0.7878
Au -2.5759 -1.2076 0.2785
La 0.0000 0.0000 0.0000
CELL_PARAMETERS angstrom
-2.3470 4.6427 -1.5756
0.2132 -1.6485 -5.1751
-5.1518 -2.4153 0.5571

---

Record 2
! BaHg2Te | the Alexandria database | GGA-PBE | optimized geometry; values from VASP
! Volume ... 144.38 Å³/f.u.
! ΔE_f (raw) ... -0.78 eV per atom
! Space-group type ... Pm (6)
! Total magnetization ... 0.00 μB per cell
&SYSTEM
  ibrav = 0, nat = 4, ntyp = 3
/
ATOMIC_SPECIES
Ba 137.33 Ba.upf
Hg 200.59 Hg.upf
Te 127.60 Te.upf
ATOMIC_POSITIONS angstrom
Ba -0.9684 4.5922 4.6143
Hg -0.2847 0.2822 4.1681
Hg -2.0585 1.5286 1.6579
Te 1.1208 2.9987 2.3501
CELL_PARAMETERS angstrom
-4.2597 1.9221 -0.4211
-0.7104 -0.5662 4.6018
2.5633 5.9300 1.1380

---

Record 3
! CuHgAs2 | the Alexandria database | GGA-PBE | optimized geometry; values from VASP
! Volume ... 93.18 Å³/f.u.
! Space-group type ... P2/m (10)
! Total magnetization ... 0.00 μB per cell
! Final energy ... -3.343 eV per atom
&SYSTEM
  ibrav = 0, nat = 4, ntyp = 3
/
ATOMIC_SPECIES
As 74.92 As.upf
Hg 200.59 Hg.upf
Cu 63.55 Cu.upf
ATOMIC_POSITIONS angstrom
As -0.6464 0.1627 0.2432
As -3.3552 -0.0850 0.5705
Hg -6.2989 1.2852 -0.3497
Cu -2.2973 1.2075 -1.1633
CELL_PARAMETERS angstrom
-0.5931 2.3372 -3.1403
-3.0225 -2.2737 -1.1214
-4.9807 2.4292 2.7486